Record 1
NaPuGaGe | the Alexandria database | PBE | relaxed; size of the total moment = 5.667 μB/f.u.; calculated formation energy = -3.8 kcal/mol of atoms; space group = No. 216; density of states at the Fermi level = 10.169 states/eV/cell; mass density = 7.7 g/cm3
1.0
0.000 3.536 3.536
3.536 0.000 3.536
3.536 3.536 0.000
Na Pu Ga Ge
1 1 1 1
direct
0.000 0.000 0.000
0.500 0.500 0.500
0.250 0.250 0.250
0.750 0.750 0.750

Record 2
RbNaGaGe | the Alexandria database | PBE | relaxed; size of the total moment = 0.000 μB/f.u.; calculated formation energy = -2.0 kcal/mol of atoms; space group = No. 8; density of states at the Fermi level = 2.216 states/eV/cell; mass density = 2.9 g/cm3
1.0
3.728 -2.154 0.000
3.728 2.154 0.000
-2.520 0.000 8.883
Rb Na Ga Ge
1 1 1 1
direct
0.000 0.000 0.000
0.191 0.191 0.568
0.445 0.445 0.333
0.773 0.773 0.315

Record 3
RbNa2GaGe | the Alexandria database | PBE | relaxed; size of the total moment = 0.000 μB/f.u.; calculated formation energy = 0.4 kcal/mol of atoms; distance to the lowest polymorph of the same formula = 0 meV/atom; space group = No. 123; density of states at the Fermi level = 2.189 states/eV/cell; mass density = 2.6 g/cm3
1.0
5.753 0.000 0.000
0.000 5.753 0.000
0.000 0.000 5.277
Rb Na Ga Ge
1 2 1 1
direct
0.000 0.000 0.000
0.000 0.500 0.500
0.500 0.000 0.500
0.500 0.500 0.000
0.500 0.500 0.500

Record 4
RbNa2GaGe | the Alexandria database | PBE | relaxed; size of the total moment = 0.000 μB/f.u.; calculated formation energy = 1.5 kcal/mol of atoms; distance to the lowest polymorph of the same formula = 49 meV/atom; space group = No. 123; density of states at the Fermi level = 2.448 states/eV/cell; mass density = 2.6 g/cm3
1.0
5.758 0.000 0.000
0.000 5.758 0.000
0.000 0.000 5.186
Rb Na Ga Ge
1 2 1 1
direct
0.000 0.000 0.000
0.000 0.500 0.500
0.500 0.000 0.500
0.500 0.500 0.500
0.500 0.500 0.000

What did the third record say?
RbNa2GaGe | the Alexandria database | PBE | relaxed; size of the total moment = 0.000 μB/f.u.; calculated formation energy = 0.4 kcal/mol of atoms; distance to the lowest polymorph of the same formula = 0 meV/atom; space group = No. 123; density of states at the Fermi level = 2.189 states/eV/cell; mass density = 2.6 g/cm3
1.0
5.753 0.000 0.000
0.000 5.753 0.000
0.000 0.000 5.277
Rb Na Ga Ge
1 2 1 1
direct
0.000 0.000 0.000
0.000 0.500 0.500
0.500 0.000 0.500
0.500 0.500 0.000
0.500 0.500 0.500

Repeat the second record exactly.
RbNaGaGe | the Alexandria database | PBE | relaxed; size of the total moment = 0.000 μB/f.u.; calculated formation energy = -2.0 kcal/mol of atoms; space group = No. 8; density of states at the Fermi level = 2.216 states/eV/cell; mass density = 2.9 g/cm3
1.0
3.728 -2.154 0.000
3.728 2.154 0.000
-2.520 0.000 8.883
Rb Na Ga Ge
1 1 1 1
direct
0.000 0.000 0.000
0.191 0.191 0.568
0.445 0.445 0.333
0.773 0.773 0.315